The following is a DFT calculation (PBEsol) of a geometry-optimized MgZn3Mo structure.

Computed properties:
Magnetization (μB per atom): 0.439
ρ (Mg/m³): 5.7
Uncorrected energy (eV for the cell shown): -11.21

Unit cell a=4.511 b=4.511 c=4.511 alpha=90.00 beta=90.00 gamma=90.00
Sites, in units of the cell vectors:
Mg1 0.000 0.000 0.000
Zn1 0.000 0.000 0.500
Zn2 0.000 0.500 0.000
Zn3 0.500 0.000 0.000
Mo1 0.500 0.500 0.500